VASP calculation (PBE) on NaGe2TeO8 after structural relaxation.

a b c (Å): 6.8862 6.8862 6.1478
angles (deg): 90.00 90.00 90.00
Space group I-4m2 (No. 119)
Symmetry-distinct sites (fractional):
Na  0.0000  0.0000  0.0000 [2 per cell]
Ge  0.0000  0.0000  0.5000 [2 per cell]
Ge  0.0000  0.5000  0.2500 [2 per cell]
Te  0.0000  0.5000  0.7500 [2 per cell]
O  0.0000  0.2037  0.6771 [8 per cell]
O  0.0000  0.3226  0.0393 [8 per cell]

- ρ (Mg/m³) = 4.83
- DOS(E_F) (states/eV per cell) = 18.8
- formation energy (no corrections) (eV per atom) = -0.96

---

VASP calculation (PBE) on NaGeTeO5 after structural relaxation.

a b c (Å): 7.0112 9.1168 7.5926
angles (deg): 90.00 115.54 90.00
Space group C2/c (No. 15)
Symmetry-distinct sites (fractional):
Na  0.0000  0.1696  0.2500 [4 per cell]
Ge  0.0000  0.1837  0.7500 [4 per cell]
Te  0.0000  0.5000  0.0000 [4 per cell]
O  0.0000  0.4284  0.2500 [4 per cell]
O  0.1075  0.2924  0.6185 [8 per cell]
O  0.1884  0.0604  0.9178 [8 per cell]

- ρ (Mg/m³) = 4.60
- DOS(E_F) (states/eV per cell) = 0.7
- formation energy (no corrections) (eV per atom) = -1.39

---

VASP calculation (PBE) on NaGe2TeO after structural relaxation.

a b c (Å): 5.5192 5.5192 5.6528
angles (deg): 90.00 90.00 90.00
Space group P4/mmm (No. 123)
Symmetry-distinct sites (fractional):
Na  0.0000  0.0000  0.0000 [1 per cell]
Ge  0.0000  0.5000  0.5000 [2 per cell]
Te  0.0000  0.0000  0.5000 [1 per cell]
O  0.5000  0.5000  0.0000 [1 per cell]

- ρ (Mg/m³) = 3.01
- DOS(E_F) (states/eV per cell) = 2.8
- formation energy (no corrections) (eV per atom) = 0.86

---

VASP calculation (PBE) on NaThGeO5 after structural relaxation.

a b c (Å): 7.3020 9.5891 8.2579
angles (deg): 90.00 113.01 90.00
Space group C2/c (No. 15)
Symmetry-distinct sites (fractional):
Na  0.0000  0.1620  0.2500 [4 per cell]
Th  0.0000  0.5000  0.0000 [4 per cell]
Ge  0.0000  0.1761  0.7500 [4 per cell]
O  0.0000  0.4132  0.2500 [4 per cell]
O  0.1131  0.2891  0.6448 [8 per cell]
O  0.1714  0.0626  0.9043 [8 per cell]

- ρ (Mg/m³) = 5.09
- DOS(E_F) (states/eV per cell) = 25.2
- formation energy (no corrections) (eV per atom) = -2.24

---

VASP calculation (PBE) on Na3Ti2Ge3O12 after structural relaxation.

a b c (Å): 12.4293 12.4293 12.4293
angles (deg): 90.00 90.00 90.00
Space group Ia-3d (No. 230)
Symmetry-distinct sites (fractional):
Na  0.0000  0.2500  0.1250 [24 per cell]
Ti  0.0000  0.0000  0.0000 [16 per cell]
Ge  0.0000  0.2500  0.3750 [24 per cell]
O  0.0353  0.0453  0.6482 [96 per cell]

- ρ (Mg/m³) = 3.98
- DOS(E_F) (states/eV per cell) = 104.0
- formation energy (no corrections) (eV per atom) = -2.06

---

VASP calculation (PBE) on NaTl2GeO after structural relaxation.

a b c (Å): 5.1029 5.1029 4.2905
angles (deg): 90.00 90.00 90.00
Space group P4/mmm (No. 123)
Symmetry-distinct sites (fractional):
Na  0.0000  0.0000  0.0000 [1 per cell]
Tl  0.0000  0.5000  0.5000 [2 per cell]
Ge  0.5000  0.5000  0.0000 [1 per cell]
O  0.0000  0.0000  0.5000 [1 per cell]

- ρ (Mg/m³) = 7.73
- DOS(E_F) (states/eV per cell) = 2.8
- formation energy (no corrections) (eV per atom) = -0.24

---

VASP calculation (PBE) on NaTl2GeO4 after structural relaxation.

a b c (Å): 5.8083 5.8093 5.8519
angles (deg): 60.29 60.28 90.00
Space group P1 (No. 1)
Symmetry-distinct sites (fractional):
Na  0.0000  0.0000  0.0000 [1 per cell]
Tl  0.5001  0.4997  0.0001 [1 per cell]
Tl  0.7499  0.2498  0.5002 [1 per cell]
Ge  0.2497  0.7501  0.5000 [1 per cell]
O  0.1856  0.0476  0.2592 [1 per cell]
O  0.3046  0.8119  0.7435 [1 per cell]
O  0.5555  0.6966  0.2560 [1 per cell]
O  0.9528  0.4447  0.7415 [1 per cell]

- ρ (Mg/m³) = 6.70
- DOS(E_F) (states/eV per cell) = 2.3
- formation energy (no corrections) (eV per atom) = -1.21

---

VASP calculation (PBE) on NaTlGeO3 after structural relaxation.

a b c (Å): 5.8970 11.2873 5.4108
angles (deg): 90.00 90.00 90.00
Space group Cmcm (No. 63)
Symmetry-distinct sites (fractional):
Na  0.0000  0.0831  0.2500 [4 per cell]
Tl  0.0000  0.2398  0.7500 [4 per cell]
Ge  0.0000  0.4501  0.2500 [4 per cell]
O  0.0000  0.2929  0.2500 [4 per cell]
O  0.2094  0.5000  0.0000 [8 per cell]

- ρ (Mg/m³) = 6.42
- DOS(E_F) (states/eV per cell) = 0.0
- formation energy (no corrections) (eV per atom) = -1.44

---

VASP calculation (PBE) on NaTlGe2O6 after structural relaxation.

a b c (Å): 10.4917 10.2056 5.3942
angles (deg): 90.00 103.65 90.00
Space group C2/c (No. 15)
Symmetry-distinct sites (fractional):
Na  0.0000  0.0860  0.2500 [4 per cell]
Tl  0.0000  0.2720  0.7500 [4 per cell]
Ge  0.2058  0.4134  0.2599 [8 per cell]
O  0.1192  0.2727  0.1238 [8 per cell]
O  0.1248  0.0998  0.6612 [8 per cell]
O  0.1483  0.4497  0.5459 [8 per cell]

- ρ (Mg/m³) = 5.55
- formation energy (no corrections) (eV per atom) = -1.43

---

VASP calculation (PBE) on NaTl3Ge2O6 after structural relaxation.

a b c (Å): 6.1933 6.1933 7.3606
angles (deg): 90.00 90.00 120.00
Space group P-3m1 (No. 164)
Symmetry-distinct sites (fractional):
Na  0.0000  0.0000  0.0000 [1 per cell]
Tl  0.0000  0.0000  0.5000 [1 per cell]
Tl  0.3333  0.6667  0.2318 [2 per cell]
Ge  0.3333  0.6667  0.7828 [2 per cell]
O  0.1736  0.3472  0.7809 [6 per cell]

- ρ (Mg/m³) = 5.96
- DOS(E_F) (states/eV per cell) = 0.0
- formation energy (no corrections) (eV per atom) = -1.11

---

VASP calculation (PBE) on Na2TlGeO4 after structural relaxation.

a b c (Å): 5.2239 5.2239 9.5172
angles (deg): 90.00 90.00 90.00
Space group I-4 (No. 82)
Symmetry-distinct sites (fractional):
Na  0.0000  0.0000  0.0000 [2 per cell]
Na  0.0000  0.5000  0.2500 [2 per cell]
Tl  0.0000  0.0000  0.5000 [2 per cell]
Ge  0.0000  0.5000  0.7500 [2 per cell]
O  0.1979  0.2934  0.8547 [8 per cell]

- ρ (Mg/m³) = 4.95
- DOS(E_F) (states/eV per cell) = 7.7
- formation energy (no corrections) (eV per atom) = -1.43

---

VASP calculation (PBE) on Na4Tm3GeO8 after structural relaxation.

a b c (Å): 6.6354 6.6354 16.6695
angles (deg): 90.00 90.00 120.00
Space group R-3m (No. 166, hexagonal axes)
Symmetry-distinct sites (fractional):
Na  0.0000  0.0000  0.0000 [3 per cell]
Na  0.0000  0.5000  0.0000 [9 per cell]
Tm  0.0000  0.5000  0.5000 [9 per cell]
Ge  0.0000  0.0000  0.5000 [3 per cell]
O  0.0000  0.0000  0.2362 [6 per cell]
O  0.0088  0.5044  0.2360 [18 per cell]

- ρ (Mg/m³) = 6.27
- DOS(E_F) (states/eV per cell) = 4.0
- formation energy (no corrections) (eV per atom) = -2.46

---

Question: Among the records above, which one has the lowest formation energy (no corrections)?
Answer: Na4Tm3GeO8

---

Question: Which formula does entry 2 have?
Answer: NaGeTeO5

---

Question: Look up the ρ of the fifth one.
Answer: 3.98 Mg/m³

---

Question: Among the records above, which one has the lowest ρ?
Answer: NaGe2TeO